Record 1
The following is a PBE calculation of an optimized crystal structure of ScPb2Br, from Alexandria.

Lattice parameters (Å, degrees): 6.192 6.192 6.192 137.33 137.33 61.94
Fractional positions:
1 Sc 0.000 0.000 0.000
2 Pb 0.250 0.750 0.500
3 Pb 0.750 0.250 0.500
4 Br 0.500 0.500 0.000

Calculated values
energy relative to the elements, uncorrected = -0.200 eV/atom
crystal system = tetragonal
energy above the most stable polymorph in this dataset = 0.3439 eV/atom
theoretical density = 8.31 g/cm³

Record 2
The following is a PBE calculation of an optimized crystal structure of ScPb2Br, from Alexandria.

Lattice parameters (Å, degrees): 5.658 5.658 3.411 90.00 90.00 90.60
Fractional positions:
1 Sc 0.000 0.000 0.000
2 Pb 0.000 0.500 0.500
3 Pb 0.500 0.000 0.500
4 Br 0.500 0.500 0.000

Calculated values
energy relative to the elements, uncorrected = -0.263 eV/atom
crystal system = orthorhombic
energy above the most stable polymorph in this dataset = 0.2814 eV/atom
theoretical density = 8.20 g/cm³

Record 3
The following is a PBE calculation of an optimized crystal structure of Sc3PbBr, from Alexandria.

Lattice parameters (Å, degrees): 5.002 5.002 5.002 90.00 90.00 90.00
Fractional positions:
1 Sc 0.000 0.000 0.500
2 Sc 0.000 0.500 0.000
3 Sc 0.500 0.000 0.000
4 Pb 0.500 0.500 0.500
5 Br 0.000 0.000 0.000

Calculated values
energy relative to the elements, uncorrected = -0.150 eV/atom
crystal system = cubic
energy above the most stable polymorph in this dataset = 0.0000 eV/atom
theoretical density = 5.60 g/cm³